1 | 4
Lattice="1.9511 -1.8523 4.1439 -2.1669 0.8694 4.3541 -2.2985 -3.6623 2.3904" Properties=species:S:1:pos:R:3 comment="PBE-GGA LiLaAsAu, relaxed" spacegroup="F-43m (216)" volume_a3_per_cell=85.28 pbc="T T T"
Li -1.8858 -3.4839 8.1663
La -1.2572 -2.3226 5.4442
As -0.6286 -1.1613 2.7221
Au 0.0000 0.0000 0.0000

2 | 4
Lattice="0.0000 3.5036 3.5036 3.5036 0.0000 3.5036 3.5036 3.5036 0.0000" Properties=species:S:1:pos:R:3 comment="PBE-GGA LiLaAsAu, relaxed" spacegroup="F-43m (216)" volume_a3_per_cell=86.01 pbc="T T T"
Li 5.2554 5.2554 5.2554
As 3.5036 3.5036 3.5036
Au 1.7518 1.7518 1.7518
La 0.0000 0.0000 0.0000

Result of the stability comparison: 2 is the most stable of them.

1 | 4
Lattice="-2.0500 2.8269 3.1059 -3.2978 3.0034 -1.3944 -4.4597 -0.6996 1.2091" Properties=species:S:1:pos:R:3 comment="PBE-GGA NaLiAsAu, relaxed" spacegroup="F-43m (216)" volume_a3_per_cell=72.17 pbc="T T T"
Au -7.3556 3.8481 2.1904
Na -4.9038 2.5654 1.4603
Li 0.0000 0.0000 0.0000
As -2.4519 1.2827 0.7301

2 | 4
Lattice="3.0863 -3.2130 1.2595 -1.4440 -4.1408 1.4844 0.6382 -3.7546 -2.6326" Properties=species:S:1:pos:R:3 comment="PBE-GGA NaLiAsAu, relaxed" spacegroup="F-43m (216)" volume_a3_per_cell=70.17 pbc="T T T"
Li 0.0000 0.0000 0.0000
Na 0.5701 -2.7771 0.0278
Au 1.7103 -8.3313 0.0834
As 1.1402 -5.5542 0.0556

Result of the stability comparison: 2 is the most stable of them.

1 | 4
Lattice="2.3235 -3.4150 1.7851 -1.1370 -4.2445 -0.9689 2.6763 -2.5068 -2.6079" Properties=species:S:1:pos:R:3 comment="PBE-GGA MgNiAsAu, relaxed" spacegroup="F-43m (216)" volume_a3_per_cell=64.42 pbc="T T T"
Au 1.9314 -5.0832 -0.8958
As 0.0000 0.0000 0.0000
Mg 0.9657 -2.5416 -0.4479
Ni 2.8971 -7.6248 -1.3437

2 | 4
Lattice="0.0000 3.2052 3.2052 3.2052 0.0000 3.2052 3.2052 3.2052 0.0000" Properties=species:S:1:pos:R:3 comment="PBE-GGA MgNiAsAu, relaxed" spacegroup="F-43m (216)" volume_a3_per_cell=65.85 pbc="T T T"
Ni 3.2052 3.2052 3.2052
Au 1.6026 1.6026 1.6026
Mg 4.8078 4.8078 4.8078
As 0.0000 0.0000 0.0000

Result of the stability comparison: 1 is the most stable of them.

1 | 4
Lattice="0.0000 3.3896 3.3896 3.3896 0.0000 3.3896 3.3896 3.3896 0.0000" Properties=species:S:1:pos:R:3 comment="PBE-GGA TeMoAsAu, relaxed" spacegroup="F-43m (216)" volume_a3_per_cell=77.89 pbc="T T T"
As 0.0000 0.0000 0.0000
Mo 1.6948 1.6948 1.6948
Au 5.0844 5.0844 5.0844
Te 3.3896 3.3896 3.3896

2 | 4
Lattice="0.0000 3.4039 3.4039 3.4039 0.0000 3.4039 3.4039 3.4039 0.0000" Properties=species:S:1:pos:R:3 comment="PBE-GGA TeMoAsAu, relaxed" spacegroup="F-43m (216)" volume_a3_per_cell=78.88 pbc="T T T"
Au 5.1058 5.1058 5.1058
As 1.7019 1.7019 1.7019
Te 3.4039 3.4039 3.4039
Mo 0.0000 0.0000 0.0000

Result of the stability comparison: 1 is the most stable of them.

1 | 4
Lattice="3.7857 0.6860 2.4637 0.4659 -2.0054 4.0784 3.0142 -3.3891 0.5480" Properties=species:S:1:pos:R:3 comment="PBE-GGA MoAsWAu, relaxed" spacegroup="F-43m (216)" volume_a3_per_cell=67.43 pbc="T T T"
Mo 0.0000 0.0000 0.0000
Au 5.4493 -3.5314 5.3176
As 3.6329 -2.3543 3.5451
W 1.8165 -1.1771 1.7725

2 | 4
Lattice="-2.3695 -0.1978 3.8123 0.0595 3.4612 2.8642 -3.6577 2.5595 0.5070" Properties=species:S:1:pos:R:3 comment="PBE-GGA MoAsWAu, relaxed" spacegroup="F-43m (216)" volume_a3_per_cell=64.13 pbc="T T T"
W -2.9838 2.9115 3.5917
Au -4.4757 4.3672 5.3876
Mo 0.0000 0.0000 0.0000
As -1.4919 1.4557 1.7959

Result of the stability comparison: 2 is the most stable of them.

1 | 8
Lattice="-1.8433 -3.1926 0.0000 0.0000 0.0000 5.3631 -5.0052 2.8897 0.0000" Properties=species:S:1:pos:R:3 comment="PBE-GGA AsAuNO, relaxed" spacegroup="Pmc2_1 (26)" volume_a3_per_cell=114.27 pbc="T T T"
As -1.6498 0.9525 2.6178
As -3.3553 1.9372 5.2994
O -2.0659 -0.9357 2.3634
O -4.7825 0.6328 5.0450
N -3.1385 1.8120 1.8334
N -1.8667 1.0777 4.5150
Au -1.8968 -1.0333 5.2738
Au -4.9516 0.7304 2.5922

2 | 8
Lattice="-3.9629 1.5652 1.0967 0.3855 -1.8182 3.9878 2.4153 4.7585 1.9361" Properties=species:S:1:pos:R:3 comment="PBE-GGA AsAuNO, relaxed" spacegroup="P4/nmm (129)" volume_a3_per_cell=109.89 pbc="T T T"
Au 0.5060 1.4069 4.2331
Au -1.6681 3.0986 2.7876
O -0.7016 -0.9723 3.2650
O -2.8758 0.7193 1.8195
As -2.5360 0.1000 3.9313
As 1.3739 4.4055 3.0894
N 0.5512 2.7847 2.4299
N -1.7133 1.7209 4.5908

Result of the stability comparison: 1 is the most stable of them.